[1]
A geometry-optimized ScTlSn2 structure, computed with GGA-PBE.

SG = R3m (160)
Formation enthalpy at 0 K = -0.071 eV per atom
Calculated total energy = -16.99 eV per cell
Density of states at the Fermi level = 0.471 states/eV/atom

Cell: 6.4729 6.4729 6.4729 Å, 42.95 42.95 42.95°
Last column: nearest neighbours and their distance in Å.
Element x y z (fractional)
Sc: 0.0000 0.0000 0.0000  6 Sn 2.96-3.03, 1 Tl 3.10
Tl: 0.8238 0.8238 0.8238  1 Sc 3.10, 6 Sn 3.19-3.27
Sn: 0.3970 0.3970 0.3970  3 Sc 2.96, 3 Tl 3.19
Sn: 0.5924 0.5924 0.5924  3 Sc 3.03, 3 Tl 3.27

---

[2]
A geometry-optimized Rb2GdGaSi4O12 structure, computed with GGA-PBE.

E_form (uncorrected) = -54.282 eV/f.u.
SG = C2/c (15)
Calculated total energy = -618.06 eV per cell
Density of states at the Fermi level = 0.000 states/eV/atom

Cell: 14.1621 14.1621 15.0909 Å, 121.96 121.96 30.35°
Last column: nearest neighbours and their distance in Å.
Element x y z (fractional)
Rb: 0.1885 0.1954 0.9669  7 O 2.95-3.17
Rb: 0.1954 0.1885 0.4669  7 O 2.95-3.17
Rb: 0.2013 0.7289 0.5473  4 O 2.86-3.19
Rb: 0.2711 0.7987 0.9527  4 O 2.86-3.19
Rb: 0.7289 0.2013 0.0473  4 O 2.86-3.19
Rb: 0.7987 0.2711 0.4527  4 O 2.86-3.19
Rb: 0.8046 0.8115 0.5331  7 O 2.95-3.17
Rb: 0.8115 0.8046 0.0331  7 O 2.95-3.17
Gd: 0.0134 0.4489 0.7498  5 O 2.27-2.41
Gd: 0.4489 0.0134 0.2498  5 O 2.27-2.41
Gd: 0.5511 0.9866 0.7502  5 O 2.27-2.41
Gd: 0.9866 0.5511 0.2502  5 O 2.27-2.41
Ga: 0.1302 0.7307 0.2744  4 O 1.83-1.86
Ga: 0.2693 0.8698 0.2256  4 O 1.83-1.86
Ga: 0.7307 0.1302 0.7744  4 O 1.83-1.86
Ga: 0.8698 0.2693 0.7256  4 O 1.83-1.86
Si: 0.0201 0.7411 0.8391  4 O 1.62-1.66
Si: 0.2084 0.6664 0.0769  4 O 1.63-1.64
Si: 0.2589 0.9799 0.6609  4 O 1.62-1.66
Si: 0.3050 0.3592 0.4908  4 O 1.62-1.68
Si: 0.3142 0.3619 0.7049  4 O 1.62-1.65
Si: 0.3336 0.7916 0.4231  4 O 1.63-1.64
Si: 0.3592 0.3050 0.9908  4 O 1.62-1.68
Si: 0.3619 0.3142 0.2049  4 O 1.62-1.65
Si: 0.6381 0.6858 0.7951  4 O 1.62-1.65
Si: 0.6408 0.6950 0.0092  4 O 1.62-1.68
Si: 0.6664 0.2084 0.5769  4 O 1.63-1.64
Si: 0.6858 0.6381 0.2951  4 O 1.62-1.65
Si: 0.6950 0.6408 0.5092  4 O 1.62-1.68
Si: 0.7411 0.0201 0.3391  4 O 1.62-1.66
Si: 0.7916 0.3336 0.9231  4 O 1.63-1.64
Si: 0.9799 0.2589 0.1609  4 O 1.62-1.66
O: 0.0620 0.0832 0.1657  1 Si 1.63
O: 0.0621 0.7550 0.9674  2 Si 1.64-1.65
O: 0.0712 0.7914 0.1571  1 Si 1.63
O: 0.0832 0.0620 0.6657  1 Si 1.63
O: 0.1127 0.2612 0.2252  1 Si 1.62
O: 0.1206 0.5319 0.4241  1 Si 1.62
O: 0.1510 0.4243 0.9249  1 Si 1.62
O: 0.1734 0.5470 0.2315  1 Si 1.64
O: 0.2086 0.9288 0.3429  1 Si 1.63
O: 0.2278 0.5461 0.7979  2 Si 1.64-1.66
O: 0.2327 0.4156 0.5892  2 Si 1.65-1.68
O: 0.2450 0.9379 0.5326  2 Si 1.64-1.65
O: 0.2582 0.2978 0.7025  1 Si 1.62
O: 0.2612 0.1127 0.7252  1 Si 1.62
O: 0.2978 0.2582 0.2025  1 Si 1.62
O: 0.3201 0.6697 0.3790  1 Si 1.64
O: 0.3303 0.6799 0.1210  1 Si 1.64
O: 0.3640 0.4404 0.0551  2 Si 1.64-1.68
O: 0.4156 0.2327 0.0892  2 Si 1.65-1.68
O: 0.4243 0.1510 0.4249  1 Si 1.62
O: 0.4404 0.3640 0.5551  2 Si 1.64-1.68
O: 0.4530 0.8266 0.2685  1 Si 1.64
O: 0.4539 0.7722 0.7021  2 Si 1.64-1.66
O: 0.4681 0.8794 0.0759  1 Si 1.62
O: 0.5319 0.1206 0.9241  1 Si 1.62
O: 0.5461 0.2278 0.2979  2 Si 1.64-1.66
O: 0.5470 0.1734 0.7315  1 Si 1.64
O: 0.5596 0.6360 0.4449  2 Si 1.64-1.68
O: 0.5757 0.8490 0.5751  1 Si 1.62
O: 0.5844 0.7673 0.9108  2 Si 1.65-1.68
O: 0.6360 0.5596 0.9449  2 Si 1.64-1.68
O: 0.6697 0.3201 0.8790  1 Si 1.64
O: 0.6799 0.3303 0.6210  1 Si 1.64
O: 0.7022 0.7418 0.7975  1 Si 1.62
O: 0.7388 0.8873 0.2748  1 Si 1.62
O: 0.7418 0.7022 0.2975  1 Si 1.62
O: 0.7550 0.0621 0.4674  2 Si 1.64-1.65
O: 0.7673 0.5844 0.4108  2 Si 1.65-1.68
O: 0.7722 0.4539 0.2021  2 Si 1.64-1.66
O: 0.7914 0.0712 0.6571  1 Si 1.63
O: 0.8266 0.4530 0.7685  1 Si 1.64
O: 0.8490 0.5757 0.0751  1 Si 1.62
O: 0.8794 0.4681 0.5759  1 Si 1.62
O: 0.8873 0.7388 0.7748  1 Si 1.62
O: 0.9168 0.9380 0.3343  1 Si 1.63
O: 0.9288 0.2086 0.8429  1 Si 1.63
O: 0.9379 0.2450 0.0326  2 Si 1.64-1.65
O: 0.9380 0.9168 0.8343  1 Si 1.63

---

[3]
A geometry-optimized TaCoIr structure, computed with GGA-PBE.

SG = P2_1/m (11)
Formation enthalpy at 0 K = -0.242 eV per atom
Calculated total energy = -57.09 eV per cell
Density of states at the Fermi level = 1.075 states/eV/atom

Cell: 4.3367 2.9114 7.0931 Å, 90.00 90.05 90.00°
Last column: nearest neighbours and their distance in Å.
Element x y z (fractional)
Ta: 0.2502 0.2500 0.1368  5 Ir 2.62-2.70, 2 Co 2.75, 2 Ta 2.91
Ta: 0.7498 0.7500 0.8632  5 Ir 2.62-2.70, 2 Co 2.75, 2 Ta 2.91
Co: 0.2502 0.7500 0.4657  4 Ir 2.59-2.73, 4 Co 2.65-2.66, 2 Ta 2.75
Co: 0.7498 0.2500 0.5343  4 Ir 2.59-2.73, 4 Co 2.65-2.66, 2 Ta 2.75
Ir: 0.2498 0.2500 0.7672  4 Co 2.59-2.73, 5 Ta 2.62-2.70
Ir: 0.7502 0.7500 0.2328  4 Co 2.59-2.73, 5 Ta 2.62-2.70

---

[4]
A geometry-optimized ZnCuBr4 structure, computed with GGA-PBE.

E_form (uncorrected) = -2.888 eV/f.u.
SG = P4_2/mmc (131)
Calculated total energy = -29.90 eV per cell
Density of states at the Fermi level = 0.497 states/eV/atom

Cell: 7.1223 7.1223 9.1309 Å, 90.00 90.00 90.00°
Last column: nearest neighbours and their distance in Å.
Element x y z (fractional)
Zn: 0.0000 0.5000 0.0000  4 Br 2.49
Zn: 0.5000 0.0000 0.5000  4 Br 2.49
Cu: 0.0000 0.0000 0.0000  4 Br 2.43
Cu: 0.0000 0.0000 0.5000  4 Br 2.43
Br: 0.2382 0.2442 0.0000  1 Cu 2.43, 1 Zn 2.49
Br: 0.2382 0.7558 0.0000  1 Cu 2.43, 1 Zn 2.49
Br: 0.2442 0.2382 0.5000  1 Cu 2.43, 1 Zn 2.49
Br: 0.2442 0.7618 0.5000  1 Cu 2.43, 1 Zn 2.49
Br: 0.7558 0.2382 0.5000  1 Cu 2.43, 1 Zn 2.49
Br: 0.7558 0.7618 0.5000  1 Cu 2.43, 1 Zn 2.49
Br: 0.7618 0.2442 0.0000  1 Cu 2.43, 1 Zn 2.49
Br: 0.7618 0.7558 0.0000  1 Cu 2.43, 1 Zn 2.49

---

[5]
A geometry-optimized LaDy2N structure, computed with GGA-PBE.

E_form (uncorrected) = -2.871 eV/f.u.
SG = R-3m (166)
Calculated total energy = -25.33 eV per cell
Density of states at the Fermi level = 1.157 states/eV/atom

Cell: 9.9437 9.9437 9.9437 Å, 19.99 19.99 19.99°
Last column: nearest neighbours and their distance in Å.
Element x y z (fractional)
La: 0.0000 0.0000 0.0000  6 La 3.45, 2 Dy 3.53
Dy: 0.1209 0.1209 0.1209  3 N 2.40
Dy: 0.8791 0.8791 0.8791  3 N 2.40
N: 0.5000 0.5000 0.5000  6 Dy 2.40

---

[6]
A geometry-optimized CdFeIr2 structure, computed with GGA-PBE.

SG = P2/m (10)
Formation enthalpy at 0 K = 0.188 eV per atom
Calculated total energy = -26.35 eV per cell
Density of states at the Fermi level = 0.761 states/eV/atom

Cell: 2.7816 4.2548 5.4038 Å, 90.00 104.76 90.00°
Last column: nearest neighbours and their distance in Å.
Element x y z (fractional)
Cd: 0.0000 0.0000 0.0000  2 Fe 2.71, 2 Cd 2.78, 8 Ir 2.90-2.94
Fe: 0.5000 0.0000 0.5000  4 Ir 2.54, 2 Cd 2.71, 2 Fe 2.78
Ir: 0.3472 0.5000 0.7254  2 Fe 2.54, 4 Ir 2.70-2.78
Ir: 0.6528 0.5000 0.2746  2 Fe 2.54, 4 Ir 2.70-2.78

---

[7]
A geometry-optimized Mg8Cd2Ag structure, computed with GGA-PBE.

SG = C2/m (12)
Formation enthalpy at 0 K = -0.073 eV per atom
Calculated total energy = -18.24 eV per cell
Density of states at the Fermi level = 0.396 states/eV/atom

Cell: 8.3934 8.3934 6.6827 Å, 112.65 112.65 33.98°
Last column: nearest neighbours and their distance in Å.
Element x y z (fractional)
Mg: 0.0045 0.0045 0.2472  2 Ag 3.00, 2 Cd 3.07-3.19, 7 Mg 3.10-3.25
Mg: 0.1773 0.1773 0.6927  8 Mg 3.08-3.15, 3 Cd 3.21
Mg: 0.3527 0.3527 0.6091  1 Ag 2.74, 2 Cd 3.00
Mg: 0.3668 0.3668 0.0875  1 Ag 2.72, 2 Cd 2.94
Mg: 0.6332 0.6332 0.9125  1 Ag 2.72, 2 Cd 2.94
Mg: 0.6473 0.6473 0.3909  1 Ag 2.74, 2 Cd 3.00
Mg: 0.8227 0.8227 0.3073  8 Mg 3.08-3.15, 3 Cd 3.21
Mg: 0.9955 0.9955 0.7528  2 Ag 3.00, 2 Cd 3.07-3.19, 7 Mg 3.10-3.25
Cd: 0.1822 0.1822 0.1783  11 Mg 2.94-3.26
Cd: 0.8178 0.8178 0.8217  11 Mg 2.94-3.26
Ag: 0.5000 0.5000 0.5000  8 Mg 2.72-3.00

---

[8]
A geometry-optimized Ho5TlPd structure, computed with GGA-PBE.

SG = C2/c (15)
Formation enthalpy at 0 K = -0.216 eV per atom
Calculated total energy = -63.92 eV per cell
Density of states at the Fermi level = 1.079 states/eV/atom

Cell: 5.8585 5.8585 11.9284 Å, 101.07 101.07 81.22°
Last column: nearest neighbours and their distance in Å.
Element x y z (fractional)
Ho: 0.0027 0.9973 0.7500  2 Pd 2.98, 1 Tl 3.06, 2 Ho 3.30
Ho: 0.0772 0.4297 0.6251  1 Pd 2.72
Ho: 0.2203 0.5253 0.9327  1 Pd 2.91
Ho: 0.4297 0.0772 0.1251  1 Pd 2.72
Ho: 0.4747 0.7797 0.5673  1 Pd 2.91
Ho: 0.5253 0.2203 0.4327  1 Pd 2.91
Ho: 0.5703 0.9228 0.8749  1 Pd 2.72
Ho: 0.7797 0.4747 0.0673  1 Pd 2.91
Ho: 0.9228 0.5703 0.3749  1 Pd 2.72
Ho: 0.9973 0.0027 0.2500  2 Pd 2.98, 1 Tl 3.06, 2 Ho 3.30
Tl: 0.3991 0.6009 0.2500  5 Ho 3.06-3.32
Tl: 0.6009 0.3991 0.7500  5 Ho 3.06-3.32
Pd: 0.0000 0.0000 0.0000  6 Ho 2.72-2.98
Pd: 0.0000 0.0000 0.5000  6 Ho 2.72-2.98

---

[9]
A geometry-optimized Ca2ZrW structure, computed with GGA-PBE.

SG = P2/m (10)
Formation enthalpy at 0 K = 0.788 eV per atom
Calculated total energy = -22.35 eV per cell
Density of states at the Fermi level = 1.369 states/eV/atom

Cell: 3.0086 5.5454 5.8822 Å, 90.00 103.72 90.00°
Last column: nearest neighbours and their distance in Å.
Element x y z (fractional)
Ca: 0.2420 0.0000 0.2587  4 Ca 2.89-3.05
Ca: 0.7580 0.0000 0.7413  4 Ca 2.89-3.05
Zr: 0.5000 0.5000 0.0000  2 W 2.97, 2 Zr 3.01
W: 0.0000 0.5000 0.5000  2 Zr 2.97, 2 W 3.01, 4 Ca 3.27

---

[10]
A geometry-optimized TmZn2Cu4 structure, computed with GGA-PBE.

SG = I4/mmm (139)
Formation enthalpy at 0 K = 0.300 eV per atom
Calculated total energy = -21.31 eV per cell
Density of states at the Fermi level = 0.433 states/eV/atom

Cell: 5.7795 5.7795 5.7795 Å, 101.00 101.00 128.21°
Last column: nearest neighbours and their distance in Å.
Element x y z (fractional)
Tm: 0.0000 0.0000 0.0000  8 Cu 3.01
Zn: 0.2500 0.7500 0.5000  4 Cu 2.39, 2 Zn 2.52
Zn: 0.7500 0.2500 0.5000  4 Cu 2.39, 2 Zn 2.52
Cu: 0.2768 0.5000 0.7768  2 Cu 2.32, 2 Zn 2.39
Cu: 0.5000 0.2768 0.7768  2 Cu 2.32, 2 Zn 2.39
Cu: 0.5000 0.7232 0.2232  2 Cu 2.32, 2 Zn 2.39
Cu: 0.7232 0.5000 0.2232  2 Cu 2.32, 2 Zn 2.39